Here is a geometry-optimized KTbVF6 structure from Alexandria. Energies are from PBE with a Hubbard U.

Total energy ... -6.02 eV/atom
Calculated volume ... 20.3 A^3/atom

Cell: 8.021 8.021 8.021 Å, 121.58 118.15 90.26°
Sites, in units of the cell vectors:
K 0.280 0.030 0.250
K 0.720 0.970 0.750
Tb 0.000 0.500 0.500
Tb 0.500 0.500 0.000
V 0.000 0.000 0.500
V 0.000 0.500 0.000
F 0.044 0.404 0.217
F 0.044 0.828 0.641
F 0.057 0.807 0.250
F 0.313 0.172 0.717
F 0.313 0.596 0.141
F 0.324 0.574 0.750
F 0.676 0.426 0.250
F 0.687 0.404 0.859
F 0.687 0.828 0.283
F 0.943 0.193 0.750
F 0.956 0.172 0.359
F 0.956 0.596 0.783